Record 1
A geometry-optimized Sr4BiSbBr2 structure, computed with PBE-GGA.

Calculated values
Its total DFT energy (no corrections) is -3.654 eV/atom. The energy relative to the elements, uncorrected is -11.155 eV per formula unit. The volume is 305.7 Å³ per cell. The calculation puts the spin magnetization at 0.00 μB/f.u.

CIF file:
```
data_Sr4BiSbBr2
_symmetry_space_group_name_H-M 'P 1'
_symmetry_Int_Tables_number 1
_symmetry_space_group_name_Hall 'P 1'
_cell_length_a 8.027
_cell_length_b 4.834
_cell_length_c 8.409
_cell_angle_alpha 90.00
_cell_angle_beta 110.49
_cell_angle_gamma 90.00
loop_
_atom_site_label
_atom_site_type_symbol
_atom_site_fract_x
_atom_site_fract_y
_atom_site_fract_z
_atom_site_occupancy
Sr1 Sr 0.226 0.000 0.240 1
Sr2 Sr 0.228 0.500 0.747 1
Sr3 Sr 0.772 0.500 0.253 1
Sr4 Sr 0.774 0.000 0.760 1
Bi1 Bi 0.000 0.000 0.500 1
Sb1 Sb 0.000 0.500 0.000 1
Br1 Br 0.500 0.000 0.000 1
Br2 Br 0.500 0.500 0.500 1
```

***

Record 2
A geometry-optimized BiSbTe2Br structure, computed with PBE-GGA.

Calculated values
Its total DFT energy (no corrections) is -2.413 eV/atom. The energy relative to the elements, uncorrected is 3.892 eV per formula unit. The volume is 174.5 Å³ per cell. The value obtained for the energy above the most stable polymorph in this dataset is 107 meV/atom. The calculation puts the spin magnetization at 0.00 μB/f.u.

CIF file:
```
data_BiSbTe2Br
_symmetry_space_group_name_H-M 'P 1'
_symmetry_Int_Tables_number 1
_symmetry_space_group_name_Hall 'P 1'
_cell_length_a 5.634
_cell_length_b 5.634
_cell_length_c 5.497
_cell_angle_alpha 90.00
_cell_angle_beta 90.00
_cell_angle_gamma 90.00
loop_
_atom_site_label
_atom_site_type_symbol
_atom_site_fract_x
_atom_site_fract_y
_atom_site_fract_z
_atom_site_occupancy
Bi1 Bi 0.000 0.000 0.000 1
Sb1 Sb 0.500 0.500 0.000 1
Te1 Te 0.000 0.500 0.500 1
Te2 Te 0.500 0.000 0.500 1
Br1 Br 0.500 0.500 0.500 1
```

***

Record 3
A geometry-optimized BiSbTe2Br structure, computed with PBE-GGA.

Calculated values
Its total DFT energy (no corrections) is -2.520 eV/atom. The energy relative to the elements, uncorrected is 3.359 eV per formula unit. The volume is 208.4 Å³ per cell. The value obtained for the energy above the most stable polymorph in this dataset is 0 meV/atom. The calculation puts the spin magnetization at 0.00 μB/f.u.

CIF file:
```
data_BiSbTe2Br
_symmetry_space_group_name_H-M 'P 1'
_symmetry_Int_Tables_number 1
_symmetry_space_group_name_Hall 'P 1'
_cell_length_a 5.901
_cell_length_b 5.901
_cell_length_c 5.984
_cell_angle_alpha 90.00
_cell_angle_beta 90.00
_cell_angle_gamma 90.00
loop_
_atom_site_label
_atom_site_type_symbol
_atom_site_fract_x
_atom_site_fract_y
_atom_site_fract_z
_atom_site_occupancy
Bi1 Bi 0.000 0.000 0.000 1
Sb1 Sb 0.000 0.000 0.500 1
Te1 Te 0.000 0.500 0.000 1
Te2 Te 0.500 0.000 0.000 1
Br1 Br 0.500 0.500 0.500 1
```

***

spin magnetization of number 2 (BiSbTe2Br)?
0.00 μB/f.u.

***

What is the formula in the first record?
Sr4BiSbBr2